ZrMo2Pt: single point on PBEsol structure, SCAN.

a = 2.732 Å, b = 2.732 Å, c = 8.868 Å
α = 90.00°, β = 90.00°, γ = 95.93°
Sites, in units of the cell vectors:
Zr1 0.000 0.000 0.000
Mo1 0.500 0.500 0.271
Mo2 0.500 0.500 0.729
Pt1 0.000 0.000 0.500

Summary:
Formation enthalpy at 0 K (eV per atom): -0.059

---

HCl: single point on PBEsol structure, SCAN.

a = 3.739 Å, b = 3.739 Å, c = 3.739 Å
α = 118.51°, β = 118.51°, γ = 92.60°
Sites, in units of the cell vectors:
H1 0.000 0.000 0.000
Cl1 0.749 0.749 0.000

Summary:
DFT total energy (eV/cell): -12.45

---

NiSnP2O8: single point on PBEsol structure, SCAN.

a = 4.844 Å, b = 5.800 Å, c = 9.839 Å
α = 90.00°, β = 90.15°, γ = 90.00°
Sites, in units of the cell vectors:
Ni1 0.069 0.250 0.226
Ni2 0.931 0.750 0.774
Sn1 0.442 0.250 0.727
Sn2 0.558 0.750 0.273
P1 0.120 0.750 0.084
P2 0.386 0.750 0.592
P3 0.614 0.250 0.408
P4 0.880 0.250 0.916
O1 0.173 0.750 0.933
O2 0.191 0.250 0.889
O3 0.233 0.542 0.663
O4 0.233 0.958 0.663
O5 0.270 0.544 0.162
O6 0.270 0.956 0.162
O7 0.306 0.250 0.387
O8 0.312 0.750 0.439
O9 0.688 0.250 0.561
O10 0.694 0.750 0.613
O11 0.730 0.044 0.838
O12 0.730 0.456 0.838
O13 0.767 0.042 0.337
O14 0.767 0.458 0.337
O15 0.809 0.750 0.111
O16 0.827 0.250 0.067

Summary:
Raw formation energy (eV per atom): -2.104

---

Tc3P: single point on PBEsol structure, SCAN.

a = 2.829 Å, b = 3.905 Å, c = 4.870 Å
α = 90.00°, β = 90.00°, γ = 90.00°
Sites, in units of the cell vectors:
Tc1 0.000 0.000 0.000
Tc2 0.500 0.500 0.256
Tc3 0.500 0.500 0.744
P1 0.000 0.000 0.500

Summary:
Formation enthalpy at 0 K (eV per atom): -0.024

---

NaTiGe3: single point on PBEsol structure, SCAN.

a = 4.783 Å, b = 4.783 Å, c = 4.783 Å
α = 90.00°, β = 90.00°, γ = 90.00°
Sites, in units of the cell vectors:
Na1 0.000 0.000 0.000
Ti1 0.500 0.500 0.500
Ge1 0.000 0.000 0.500
Ge2 0.000 0.500 0.000
Ge3 0.500 0.000 0.000

Summary:
Formation enthalpy at 0 K (eV per atom): 1.128

---

Li6V2OF11: single point on PBEsol structure, SCAN.

a = 5.388 Å, b = 5.388 Å, c = 8.606 Å
α = 105.94°, β = 105.94°, γ = 55.17°
Sites, in units of the cell vectors:
Li1 0.075 0.075 0.181
Li2 0.162 0.148 0.540
Li3 0.325 0.370 0.946
Li4 0.630 0.675 0.054
Li5 0.852 0.838 0.460
Li6 0.925 0.925 0.819
V1 0.392 0.388 0.304
V2 0.612 0.608 0.696
O1 0.618 0.382 0.500
F1 0.043 0.439 0.739
F2 0.095 0.405 0.401
F3 0.095 0.408 0.106
F4 0.154 0.831 0.342
F5 0.169 0.846 0.658
F6 0.205 0.795 0.000
F7 0.561 0.957 0.261
F8 0.592 0.905 0.894
F9 0.595 0.905 0.599
F10 0.639 0.342 0.166
F11 0.658 0.361 0.834

Summary:
Raw formation energy (eV per atom): -3.135

---

RbBi3Ru: single point on PBEsol structure, SCAN.

a = 5.815 Å, b = 5.815 Å, c = 5.815 Å
α = 90.00°, β = 90.00°, γ = 90.00°
Sites, in units of the cell vectors:
Rb1 0.000 0.000 0.000
Bi1 0.000 0.000 0.500
Bi2 0.000 0.500 0.000
Bi3 0.500 0.000 0.000
Ru1 0.500 0.500 0.500

Summary:
Formation enthalpy at 0 K (eV per atom): 2.190

---

SrTl2Cd: single point on PBEsol structure, SCAN.

a = 5.380 Å, b = 5.380 Å, c = 5.380 Å
α = 60.00°, β = 60.00°, γ = 60.00°
Sites, in units of the cell vectors:
Sr1 0.000 0.000 0.000
Tl1 0.250 0.250 0.250
Tl2 0.500 0.500 0.500
Cd1 0.750 0.750 0.750

Summary:
Formation enthalpy at 0 K (eV per atom): -0.279

---

In4Cu: single point on PBEsol structure, SCAN.

a = 5.355 Å, b = 5.355 Å, c = 5.355 Å
α = 109.47°, β = 109.47°, γ = 109.47°
Sites, in units of the cell vectors:
In1 0.000 0.000 0.500
In2 0.000 0.500 0.000
In3 0.500 0.000 0.000
In4 0.500 0.500 0.500
Cu1 0.000 0.000 0.000

Summary:
Formation enthalpy at 0 K (eV per atom): 0.062

---

CaTc2Cl2: single point on PBEsol structure, SCAN.

a = 6.104 Å, b = 6.104 Å, c = 6.104 Å
α = 141.34°, β = 141.34°, γ = 55.82°
Sites, in units of the cell vectors:
Ca1 0.000 0.000 0.000
Tc1 0.250 0.750 0.500
Tc2 0.750 0.250 0.500
Cl1 0.362 0.362 0.000
Cl2 0.638 0.638 0.000

Summary:
Raw formation energy (eV per atom): 0.329

---

Mg2TeBr2: single point on PBEsol structure, SCAN.

a = 6.279 Å, b = 6.279 Å, c = 6.279 Å
α = 133.80°, β = 133.80°, γ = 67.40°
Sites, in units of the cell vectors:
Mg1 0.250 0.750 0.500
Mg2 0.750 0.250 0.500
Te1 0.000 0.000 0.000
Br1 0.348 0.348 0.000
Br2 0.652 0.652 0.000

Summary:
Raw formation energy (eV per atom): -0.766

---

Li2IrAu: single point on PBEsol structure, SCAN.

a = 4.788 Å, b = 4.788 Å, c = 2.587 Å
α = 90.00°, β = 90.00°, γ = 110.41°
Sites, in units of the cell vectors:
Li1 0.000 0.500 0.000
Li2 0.500 0.000 0.000
Ir1 0.000 0.000 0.500
Au1 0.500 0.500 0.500

Summary:
Formation enthalpy at 0 K (eV per atom): -0.304